Entry 1:
DFT (PBE) results for crystalline Ac3LaSm at its relaxed geometry.

a b c (Å): 10.221 10.221 10.939
angles (deg): 105.04 105.04 21.94
Positions (direct):
Ac: 0.001 0.001 0.241
Ac: 0.202 0.202 0.848
Ac: 0.398 0.398 0.455
Ac: 0.602 0.602 0.545
Ac: 0.798 0.798 0.152
Ac: 0.999 0.999 0.759
La: 0.397 0.397 0.946
La: 0.603 0.603 0.054
Sm: 0.201 0.201 0.353
Sm: 0.799 0.799 0.647

**Calculated density**: 7.824 g cm⁻³
**Total magnetization**: 0.00 Bohr magnetons per cell
**E_form**: 0.2 eV/f.u.
**E**: -43.6 eV/cell

=====

Entry 2:
DFT (PBE) results for crystalline LiCa2Bi at its relaxed geometry.

a b c (Å): 11.548 11.548 11.548
angles (deg): 155.02 155.02 35.62
Positions (direct):
Li: 0.000 0.000 0.000
Li: 0.750 0.250 0.500
Ca: 0.139 0.625 0.014
Ca: 0.375 0.389 0.514
Ca: 0.611 0.125 0.986
Ca: 0.875 0.861 0.486
Bi: 0.250 0.750 0.500
Bi: 0.500 0.500 0.000

**Calculated density**: 3.584 g cm⁻³
**Total magnetization**: 0.00 Bohr magnetons per cell
**E_form**: -0.4 eV/f.u.
**E**: -20.4 eV/cell

=====

Entry 3:
DFT (PBE) results for crystalline PrHoCd at its relaxed geometry.

a b c (Å): 8.134 8.134 3.403
angles (deg): 90.00 90.00 95.22
Positions (direct):
Pr: 0.236 0.764 0.000
Pr: 0.764 0.236 0.000
Ho: 0.000 0.000 0.500
Ho: 0.500 0.500 0.000
Cd: 0.269 0.269 0.500
Cd: 0.731 0.731 0.500

**Calculated density**: 6.196 g cm⁻³
**Total magnetization**: 0.00 Bohr magnetons per cell
**E_form**: 1.5 eV/f.u.
**E**: -17.5 eV/cell

=====

Entry 4:
DFT (PBE) results for crystalline NdTmHg6 at its relaxed geometry.

a b c (Å): 5.030 6.682 6.682
angles (deg): 60.91 90.00 90.00
Positions (direct):
Nd: 0.000 0.000 0.000
Tm: 0.500 0.681 0.681
Hg: 0.000 0.006 0.500
Hg: 0.000 0.500 0.006
Hg: 0.000 0.513 0.513
Hg: 0.500 0.174 0.174
Hg: 0.500 0.186 0.661
Hg: 0.500 0.661 0.186

**Calculated density**: 12.834 g cm⁻³
**Total magnetization**: 0.00 Bohr magnetons per cell
**E_form**: -2.7 eV/f.u.
**E**: -13.8 eV/cell

=====

Entry 5:
DFT (PBE) results for crystalline SmPdN3 at its relaxed geometry.

a b c (Å): 3.759 6.354 8.338
angles (deg): 106.81 90.01 107.14
Positions (direct):
Sm: 0.131 0.260 0.383
Sm: 0.869 0.740 0.617
Pd: 0.379 0.757 0.252
Pd: 0.621 0.243 0.748
N: 0.331 0.663 0.457
N: 0.369 0.736 0.886
N: 0.385 0.768 0.029
N: 0.615 0.232 0.971
N: 0.631 0.264 0.114
N: 0.669 0.337 0.543

**Calculated density**: 5.471 g cm⁻³
**Uncorrected formation energy**: -384 meV per atom
**Total magnetization**: 0.00 Bohr magnetons per cell
**E**: -73.6 eV/cell

=====

Entry 6:
DFT (PBE) results for crystalline Dy2TePb at its relaxed geometry.

a b c (Å): 7.928 7.928 7.928
angles (deg): 32.04 32.04 32.04
Positions (direct):
Dy: 0.000 0.000 0.000
Dy: 0.178 0.178 0.178
Te: 0.758 0.758 0.758
Pb: 0.588 0.588 0.588

**Calculated density**: 8.793 g cm⁻³
**Uncorrected formation energy**: -839 meV per atom
**Total magnetization**: 0.00 Bohr magnetons per cell
**E**: -19.4 eV/cell

=====

Entry 7:
DFT (PBE) results for crystalline CaLa2Tl3Te6 at its relaxed geometry.

a b c (Å): 10.667 10.667 9.565
angles (deg): 105.81 105.81 25.16
Positions (direct):
Ca: 0.000 0.000 0.000
La: 0.335 0.335 0.672
La: 0.665 0.665 0.328
Tl: 0.000 0.000 0.500
Tl: 0.335 0.335 0.165
Tl: 0.665 0.665 0.835
Te: 0.161 0.161 0.094
Te: 0.172 0.172 0.568
Te: 0.495 0.495 0.765
Te: 0.505 0.505 0.235
Te: 0.828 0.828 0.432
Te: 0.839 0.839 0.906

**Calculated density**: 6.340 g cm⁻³
**Uncorrected formation energy**: -1041 meV per atom
**Total magnetization**: 0.00 Bohr magnetons per cell
**E**: -50.3 eV/cell

=====

Entry 8:
DFT (PBE) results for crystalline Sr2CaNb at its relaxed geometry.

a b c (Å): 5.937 5.937 5.937
angles (deg): 60.00 60.00 60.00
Positions (direct):
Sr: 0.250 0.250 0.250
Sr: 0.750 0.750 0.750
Ca: 0.000 0.000 0.000
Nb: 0.500 0.500 0.500

**Calculated density**: 3.458 g cm⁻³
**Total magnetization**: 3.04 Bohr magnetons per cell
**E_form**: 2.8 eV/f.u.
**E**: -12.7 eV/cell

=====

Entry 9:
DFT (PBE) results for crystalline Ho2PuIn3 at its relaxed geometry.

a b c (Å): 3.370 3.370 13.781
angles (deg): 90.00 90.00 90.00
Positions (direct):
Ho: 0.000 0.000 0.163
Ho: 0.000 0.000 0.837
Pu: 0.000 0.000 0.500
In: 0.500 0.500 0.000
In: 0.500 0.500 0.329
In: 0.500 0.500 0.671

**Calculated density**: 9.745 g cm⁻³
**Total magnetization**: 6.34 Bohr magnetons per cell
**E_form**: -2.1 eV/f.u.
**E**: -33.8 eV/cell

=====

Entry 10:
DFT (PBE) results for crystalline CuAgOs2 at its relaxed geometry.

a b c (Å): 5.066 5.066 5.066
angles (deg): 137.28 137.28 62.01
Positions (direct):
Cu: 0.000 0.000 0.000
Ag: 0.500 0.500 0.000
Os: 0.250 0.750 0.500
Os: 0.750 0.250 0.500

**Calculated density**: 15.490 g cm⁻³
**Total magnetization**: 0.00 Bohr magnetons per cell
**E_form**: 3.1 eV/f.u.
**E**: -26.3 eV/cell

=====

Entry 11:
DFT (PBE) results for crystalline Pa2TiZn at its relaxed geometry.

a b c (Å): 3.692 3.692 6.433
angles (deg): 90.00 90.00 90.00
Positions (direct):
Pa: 0.000 0.000 0.234
Pa: 0.000 0.000 0.766
Ti: 0.500 0.500 0.500
Zn: 0.500 0.500 0.000

**Calculated density**: 10.898 g cm⁻³
**Total magnetization**: 1.42 Bohr magnetons per cell
**E_form**: 0.9 eV/f.u.
**E**: -27.2 eV/cell

=====

Entry 12:
DFT (PBE) results for crystalline Zr4AlNi2 at its relaxed geometry.

a b c (Å): 6.257 4.237 10.427
angles (deg): 90.00 104.65 90.00
Positions (direct):
Zr: 0.049 0.250 0.159
Zr: 0.085 0.250 0.628
Zr: 0.329 0.250 0.933
Zr: 0.413 0.750 0.376
Zr: 0.587 0.250 0.624
Zr: 0.671 0.750 0.067
Zr: 0.915 0.750 0.372
Zr: 0.951 0.750 0.841
Al: 0.432 0.750 0.770
Al: 0.568 0.250 0.230
Ni: 0.209 0.250 0.419
Ni: 0.277 0.750 0.105
Ni: 0.723 0.250 0.895
Ni: 0.791 0.750 0.581

**Calculated density**: 6.324 g cm⁻³
**Total magnetization**: 0.00 Bohr magnetons per cell
**E_form**: -1.8 eV/f.u.
**E**: -102.6 eV/cell

=====

Entry 13:
DFT (PBE) results for crystalline NdPu3 at its relaxed geometry.

a b c (Å): 4.861 4.861 4.861
angles (deg): 90.00 90.00 90.00
Positions (direct):
Nd: 0.000 0.000 0.000
Pu: 0.000 0.500 0.500
Pu: 0.500 0.000 0.500
Pu: 0.500 0.500 0.000

**Calculated density**: 12.669 g cm⁻³
**Total magnetization**: 17.63 Bohr magnetons per cell
**E_form**: 1.2 eV/f.u.
**E**: -46.6 eV/cell

=====

Entry 14:
DFT (PBE) results for crystalline PaVP2Os at its relaxed geometry.

a b c (Å): 5.613 5.613 5.613
angles (deg): 137.41 137.41 61.81
Positions (direct):
Pa: 0.000 0.000 0.000
V: 0.750 0.250 0.500
P: 0.377 0.377 0.000
P: 0.623 0.623 0.000
Os: 0.250 0.750 0.500

**Calculated density**: 11.083 g cm⁻³
**Total magnetization**: 1.83 Bohr magnetons per cell
**E_form**: -3.7 eV/f.u.
**E**: -44.4 eV/cell

=====

Entry 15:
DFT (PBE) results for crystalline AcNdDyIn at its relaxed geometry.

a b c (Å): 5.662 5.662 5.662
angles (deg): 60.00 60.00 60.00
Positions (direct):
Ac: 0.000 0.000 0.000
Nd: 0.750 0.750 0.750
Dy: 0.250 0.250 0.250
In: 0.500 0.500 0.500

**Calculated density**: 8.391 g cm⁻³
**Total magnetization**: 0.00 Bohr magnetons per cell
**E_form**: -0.2 eV/f.u.
**E**: -16.5 eV/cell

=====

Entry 16:
DFT (PBE) results for crystalline Na2Tl2Sn at its relaxed geometry.

a b c (Å): 8.010 8.010 4.736
angles (deg): 90.00 90.00 90.00
Positions (direct):
Na: 0.168 0.332 0.000
Na: 0.332 0.832 0.000
Na: 0.668 0.168 0.000
Na: 0.832 0.668 0.000
Tl: 0.137 0.637 0.500
Tl: 0.363 0.137 0.500
Tl: 0.637 0.863 0.500
Tl: 0.863 0.363 0.500
Sn: 0.000 0.000 0.500
Sn: 0.500 0.500 0.500

**Calculated density**: 6.269 g cm⁻³
**Total magnetization**: 0.00 Bohr magnetons per cell
**E_form**: -0.3 eV/f.u.
**E**: -23.3 eV/cell

=====

Entry 17:
DFT (PBE) results for crystalline KZr2MoIr at its relaxed geometry.

a b c (Å): 4.964 4.964 5.010
angles (deg): 90.00 90.00 90.00
Positions (direct):
K: 0.000 0.000 0.000
Zr: 0.000 0.500 0.500
Zr: 0.500 0.000 0.500
Mo: 0.000 0.000 0.500
Ir: 0.500 0.500 0.000

**Calculated density**: 6.856 g cm⁻³
**Total magnetization**: 0.00 Bohr magnetons per cell
**E_form**: 7.5 eV/f.u.
**E**: -30.4 eV/cell

=====

Entry 18:
DFT (PBE) results for crystalline Sr2InSn3 at its relaxed geometry.

a b c (Å): 6.708 6.708 7.869
angles (deg): 124.84 124.84 42.22
Positions (direct):
Sr: 0.000 0.000 0.000
Sr: 0.128 0.128 0.629
In: 0.406 0.406 0.221
Sn: 0.409 0.409 0.615
Sn: 0.717 0.717 0.408
Sn: 0.724 0.724 0.024

**Calculated density**: 5.704 g cm⁻³
**Total magnetization**: 0.00 Bohr magnetons per cell
**E_form**: -2.9 eV/f.u.
**E**: -21.0 eV/cell

=====

Entry 19:
DFT (PBE) results for crystalline MgTe3Br at its relaxed geometry.

a b c (Å): 5.442 5.442 5.442
angles (deg): 90.00 90.00 90.00
Positions (direct):
Mg: 0.000 0.000 0.000
Te: 0.000 0.000 0.500
Te: 0.000 0.500 0.000
Te: 0.500 0.000 0.000
Br: 0.500 0.500 0.500

**Calculated density**: 5.018 g cm⁻³
**Uncorrected formation energy**: 226 meV per atom
**Total magnetization**: 0.00 Bohr magnetons per cell
**E**: -11.6 eV/cell

=====

Entry 20:
DFT (PBE) results for crystalline LiFeOs2 at its relaxed geometry.

a b c (Å): 2.683 3.857 5.134
angles (deg): 90.00 91.15 90.00
Positions (direct):
Li: 0.000 0.000 0.000
Fe: 0.505 0.500 0.783
Os: 0.007 0.000 0.499
Os: 0.500 0.500 0.272

**Calculated density**: 13.853 g cm⁻³
**Total magnetization**: 2.49 Bohr magnetons per cell
**E_form**: 1.0 eV/f.u.
**E**: -31.9 eV/cell

=====

Entry 21:
DFT (PBE) results for crystalline UTlHgCl6 at its relaxed geometry.

a b c (Å): 7.931 7.931 14.338
angles (deg): 90.00 90.00 120.00
Positions (direct):
U: 0.333 0.667 0.250
U: 0.667 0.333 0.750
Tl: 0.333 0.667 0.750
Tl: 0.667 0.333 0.250
Hg: 0.000 0.000 0.000
Hg: 0.000 0.000 0.500
Cl: 0.066 0.409 0.148
Cl: 0.066 0.657 0.352
Cl: 0.343 0.409 0.352
Cl: 0.343 0.934 0.148
Cl: 0.409 0.066 0.648
Cl: 0.409 0.343 0.852
Cl: 0.591 0.657 0.148
Cl: 0.591 0.934 0.352
Cl: 0.657 0.066 0.852
Cl: 0.657 0.591 0.648
Cl: 0.934 0.343 0.648
Cl: 0.934 0.591 0.852

**Calculated density**: 3.639 g cm⁻³
**Uncorrected formation energy**: -1345 meV per atom
**Total magnetization**: 2.00 Bohr magnetons per cell
**E**: -74.3 eV/cell

=====

Entry 22:
DFT (PBE) results for crystalline YGaSn2Pt at its relaxed geometry.

a b c (Å): 5.656 5.656 5.322
angles (deg): 90.00 90.00 90.00
Positions (direct):
Y: 0.000 0.000 0.000
Ga: 0.000 0.000 0.500
Sn: 0.000 0.500 0.000
Sn: 0.500 0.000 0.000
Pt: 0.500 0.500 0.500

**Calculated density**: 5.766 g cm⁻³
**Total magnetization**: 0.00 Bohr magnetons per cell
**E_form**: 5.3 eV/f.u.
**E**: -18.3 eV/cell

=====

Entry 23:
DFT (PBE) results for crystalline Ac6Si2SnTe3 at its relaxed geometry.

a b c (Å): 10.607 10.607 9.549
angles (deg): 103.65 103.65 25.53
Positions (direct):
Ac: 0.008 0.008 0.249
Ac: 0.326 0.326 0.432
Ac: 0.334 0.334 0.895
Ac: 0.666 0.666 0.105
Ac: 0.674 0.674 0.568
Ac: 0.992 0.992 0.751
Si: 0.168 0.168 0.335
Si: 0.832 0.832 0.665
Sn: 0.500 0.500 0.000
Te: 0.165 0.165 0.832
Te: 0.500 0.500 0.500
Te: 0.835 0.835 0.168

**Calculated density**: 7.096 g cm⁻³
**Uncorrected formation energy**: -1105 meV per atom
**Total magnetization**: 0.00 Bohr magnetons per cell
**E**: -62.2 eV/cell

=====

Entry 24:
DFT (PBE) results for crystalline PuSb3PtRh2 at its relaxed geometry.

a b c (Å): 7.658 7.658 7.658
angles (deg): 64.21 64.21 64.21
Positions (direct):
Pu: 0.245 0.245 0.245
Pu: 0.755 0.755 0.755
Sb: 0.214 0.760 0.760
Sb: 0.240 0.240 0.786
Sb: 0.240 0.786 0.240
Sb: 0.760 0.214 0.760
Sb: 0.760 0.760 0.214
Sb: 0.786 0.240 0.240
Pt: 0.397 0.397 0.397
Pt: 0.603 0.603 0.603
Rh: 0.000 0.000 0.000
Rh: 0.000 0.000 0.500
Rh: 0.000 0.500 0.000
Rh: 0.500 0.000 0.000

**Calculated density**: 9.671 g cm⁻³
**Uncorrected formation energy**: -350 meV per atom
**Total magnetization**: 9.55 Bohr magnetons per cell
**E**: -99.8 eV/cell

=====

Entry 25:
DFT (PBE) results for crystalline NaPrTlAu at its relaxed geometry.

a b c (Å): 5.270 5.270 5.270
angles (deg): 60.00 60.00 60.00
Positions (direct):
Na: 0.000 0.000 0.000
Pr: 0.500 0.500 0.500
Tl: 0.750 0.750 0.750
Au: 0.250 0.250 0.250

**Calculated density**: 9.069 g cm⁻³
**Total magnetization**: 0.00 Bohr magnetons per cell
**E_form**: -1.6 eV/f.u.
**E**: -13.3 eV/cell